[1]
The following is a DFT calculation (GGA-PBE) of crystalline HgTe2Pb at its relaxed geometry.

Structure (extended XYZ):
```
4
Lattice="4.075 -2.355 0.000 4.075 2.355 0.000 -2.770 0.000 8.821" Properties=species:S:1:pos:R:3 pbc="T T T"
Hg 0.000 0.000 0.000
Te -0.020 0.000 2.987
Te 2.661 0.000 7.939
Pb 2.696 0.000 4.480
```

Properties
The raw formation energy comes out at -67 kJ/mol of formula units. The space group is Cm, No. 8. For the volume, the calculation gives 42.3 Å³ per atom.

---

[2]
The following is a DFT calculation (GGA-PBE) of crystalline MnPBr2 at its relaxed geometry.

Structure (extended XYZ):
```
4
Lattice="3.245 -3.494 0.000 3.245 3.494 0.000 0.000 0.000 4.174" Properties=species:S:1:pos:R:3 pbc="T T T"
Mn 0.000 0.000 0.000
P 3.245 0.000 0.000
Br 3.245 1.820 2.087
Br 3.245 -1.820 2.087
```

Properties
The raw formation energy comes out at 148 kJ/mol of formula units. The space group is Cmmm, No. 65. For the volume, the calculation gives 23.7 Å³ per atom. For the offset from the most stable computed form, the calculation gives 597 meV/atom.

---

[3]
The following is a DFT calculation (GGA-PBE) of crystalline La2Nd5Tm4 at its relaxed geometry.

Structure (extended XYZ):
```
11
Lattice="-1.770 4.601 11.839 1.770 -4.601 11.839 1.770 4.601 -11.839" Properties=species:S:1:pos:R:3 pbc="T T T"
La 0.000 0.000 5.532
La 0.000 0.000 18.147
Nd 1.770 2.797 -3.321
Nd 1.770 2.797 3.321
Nd 0.000 4.601 0.000
Nd 0.000 1.804 8.519
Nd 0.000 1.804 15.160
Tm 0.000 0.000 2.289
Tm 1.770 1.668 0.000
Tm 0.000 2.933 11.839
Tm 0.000 0.000 21.390
```

Properties
The space group is Immm, No. 71. For the volume, the calculation gives 35.1 Å³ per atom. The calculation puts the energy of formation from the pure elements at 155 meV per atom. For the offset from the most stable computed form, the calculation gives 19 meV/atom.

---

[4]
The following is a DFT calculation (GGA-PBE) of crystalline Os2AuSe at its relaxed geometry.

Structure (extended XYZ):
```
4
Lattice="2.830 0.000 0.000 0.000 4.783 0.000 0.000 0.000 4.811" Properties=species:S:1:pos:R:3 pbc="T T T"
Os 0.000 0.000 0.000
Os 1.415 2.392 0.000
Au 0.000 2.392 2.406
Se 1.415 0.000 2.406
```

Properties
The raw formation energy comes out at 384 kJ/mol of formula units. The space group is Pmmm, No. 47. For the volume, the calculation gives 16.3 Å³ per atom.

---

[5]
The following is a DFT calculation (GGA-PBE) of crystalline DySc5Pb3 at its relaxed geometry.

Structure (extended XYZ):
```
18
Lattice="8.947 0.000 0.000 -4.473 7.748 0.000 0.000 0.000 6.333" Properties=species:S:1:pos:R:3 pbc="T T T"
Dy 0.000 0.000 0.000
Dy 0.000 0.000 3.167
Sc -1.506 2.609 1.583
Sc -2.967 5.139 4.750
Sc 0.000 5.165 0.000
Sc 0.000 5.165 3.167
Sc 3.013 0.000 1.583
Sc 1.506 2.609 4.750
Sc 5.934 0.000 4.750
Sc 2.967 5.139 1.583
Sc 4.473 2.583 0.000
Sc 4.473 2.583 3.167
Pb -1.499 2.597 4.750
Pb -2.974 5.151 1.583
Pb 2.999 0.000 4.750
Pb 1.499 2.597 1.583
Pb 5.948 0.000 1.583
Pb 2.974 5.151 4.750
```

Properties
The space group is P6_3/mcm, No. 193. For the volume, the calculation gives 24.4 Å³ per atom. The calculation puts the energy of formation from the pure elements at -362 meV per atom.

---

[6]
The following is a DFT calculation (GGA-PBE) of crystalline LiReRh2 at its relaxed geometry.

Structure (extended XYZ):
```
4
Lattice="2.857 -3.574 0.000 2.857 3.574 0.000 -0.006 0.000 2.730" Properties=species:S:1:pos:R:3 pbc="T T T"
Li 0.000 0.000 0.000
Re 2.857 0.000 0.000
Rh 1.425 1.787 1.365
Rh 1.425 -1.787 1.365
```

Properties
The space group is C2/m, No. 12. For the volume, the calculation gives 13.9 Å³ per atom. The calculation puts the energy of formation from the pure elements at -32 meV per atom.